Record 1
First-principles (GGA-PBE) data for a geometry-optimized MnAs2Rh structure, as listed in the Alexandria database.

Values from the calculation:
As for the excess energy over the best structure of this formula in the dataset: 0.81 eV/f.u. Its space group is I-4m2.

a b c (Å): 5.0981 5.0981 5.0981
angles (deg): 136.57 136.57 63.10
With the nearest neighbours (Å) after each atom.
Sites, in units of the cell vectors:
Rh 0.7500 0.2500 0.5000  8 As 2.67-2.88, 4 Mn 2.88
As 0.0000 0.0000 0.0000  4 Mn 2.67, 4 Rh 2.88, 4 As 2.88
As 0.2500 0.7500 0.5000  4 Rh 2.67, 4 As 2.88, 4 Mn 2.88
Mn 0.5000 0.5000 0.0000  8 As 2.67-2.88, 4 Rh 2.88

---

Record 2
First-principles (GGA-PBE) data for a geometry-optimized Mn3AsRh structure, as listed in the Alexandria database.

Values from the calculation:
As for the excess energy over the best structure of this formula in the dataset: 0.00 eV/f.u. Its space group is Pm-3m.

a b c (Å): 4.7696 4.7696 4.7696
angles (deg): 90.00 90.00 90.00
With the nearest neighbours (Å) after each atom.
Sites, in units of the cell vectors:
Mn 0.0000 0.0000 0.5000  2 Rh 2.38
Mn 0.5000 0.0000 0.0000  2 Rh 2.38
As 0.5000 0.5000 0.5000  12 Mn 3.37
Rh 0.0000 0.0000 0.0000  6 Mn 2.38
Mn 0.0000 0.5000 0.0000  2 Rh 2.38

---

Record 3
First-principles (GGA-PBE) data for a geometry-optimized MnAsRh2 structure, as listed in the Alexandria database.

Values from the calculation:
Its space group is I-42d. The calculation puts the total energy at -6.6624 eV per atom.

a b c (Å): 5.3474 5.3474 6.6062
angles (deg): 66.13 66.13 90.00
With the nearest neighbours (Å) after each atom.
Sites, in units of the cell vectors:
Rh 0.8750 0.8545 0.7500  2 Mn 2.26, 2 As 2.39
Mn 0.5000 0.5000 0.0000  4 Rh 2.26
Rh 0.3750 0.3955 0.7500  2 Mn 2.26, 2 As 2.39
Rh 0.1455 0.6250 0.2500  2 Mn 2.26, 2 As 2.39
As 0.7500 0.2500 0.5000  4 Rh 2.39
Rh 0.6045 0.1250 0.2500  2 Mn 2.26, 2 As 2.39
Mn 0.2500 0.7500 0.5000  4 Rh 2.26
As 0.0000 0.0000 0.0000  4 Rh 2.39

---

Record 4
First-principles (GGA-PBE) data for a geometry-optimized Mn4AsRh structure, as listed in the Alexandria database.

Values from the calculation:
Its space group is F-43m. The calculation puts the total energy at -7.8060 eV per atom.

a b c (Å): 4.7632 4.7632 4.7632
angles (deg): 60.00 60.00 60.00
With the nearest neighbours (Å) after each atom.
Sites, in units of the cell vectors:
Rh 0.7500 0.7500 0.7500  12 Mn 2.79, 4 As 2.92
Mn 0.8740 0.3753 0.3753  6 Mn 2.37-2.39
Mn 0.3753 0.8740 0.3753  6 Mn 2.37-2.39
Mn 0.3753 0.3753 0.8740  6 Mn 2.37-2.39
As 0.0000 0.0000 0.0000  12 Mn 2.79, 4 Rh 2.92
Mn 0.3753 0.3753 0.3753  6 Mn 2.37-2.39

---

Record 5
First-principles (GGA-PBE) data for a geometry-optimized MnAsRh4 structure, as listed in the Alexandria database.

Values from the calculation:
Its space group is F-43m. The calculation puts the total energy at -6.9419 eV per atom.

a b c (Å): 5.1444 5.1444 5.1444
angles (deg): 60.00 60.00 60.00
With the nearest neighbours (Å) after each atom.
Sites, in units of the cell vectors:
As 0.2500 0.2500 0.2500  12 Rh 3.02, 4 Mn 3.15
Mn 0.0000 0.0000 0.0000  12 Rh 3.02, 4 As 3.15
Rh 0.1251 0.6250 0.6250  6 Rh 2.57
Rh 0.6250 0.6250 0.6250  6 Rh 2.57
Rh 0.6250 0.6250 0.1251  6 Rh 2.57
Rh 0.6250 0.1251 0.6250  6 Rh 2.57

---

Record 6
First-principles (GGA-PBE) data for a geometry-optimized MnAsRh2 structure, as listed in the Alexandria database.

Values from the calculation:
Its space group is Imm2. The calculation puts the total energy at -7.3125 eV per atom.

a b c (Å): 5.1965 5.1965 5.1965
angles (deg): 146.54 130.92 60.71
With the nearest neighbours (Å) after each atom.
Sites, in units of the cell vectors:
Rh 0.0024 0.0024 0.0000  4 As 2.63, 2 Mn 2.81, 4 Rh 2.91-2.93
As 0.5056 0.5056 0.0000  6 Rh 2.46-2.63, 2 Mn 2.60
Mn 0.2680 0.7680 0.5000  2 As 2.60, 6 Rh 2.66-2.81
Rh 0.7240 0.2240 0.5000  2 As 2.46, 4 Mn 2.66